Entry 1:
Here is PuTaP2 after structural relaxation from Alexandria via LeMat-Bulk. Energies are from PBE. Values from VASP.

DFT total energy   -10.154 eV/atom
Calculated formation energy   -0.90 eV/atom

Structure (Quantum ESPRESSO input):
```
&SYSTEM
  ibrav = 0, nat = 4, ntyp = 3
/
ATOMIC_SPECIES
Pu 244.00 Pu.upf
Ta 180.95 Ta.upf
P 30.97 P.upf
CELL_PARAMETERS angstrom
-3.509 0.874 0.308
-2.096 -1.729 2.407
-0.328 4.271 5.519
ATOMIC_POSITIONS crystal
Pu 0.672 0.672 0.985
Ta 0.496 0.496 0.511
P 0.093 0.093 0.722
P 0.239 0.239 0.282
```

---

Entry 2:
Here is TmBi3 after structural relaxation from Alexandria via LeMat-Bulk. Energies are from PBE. Values from VASP.

DFT total energy   -4.303 eV/atom
Calculated formation energy   -0.27 eV/atom

Structure (Quantum ESPRESSO input):
```
&SYSTEM
  ibrav = 0, nat = 4, ntyp = 2
/
ATOMIC_SPECIES
Tm 168.93 Tm.upf
Bi 208.98 Bi.upf
CELL_PARAMETERS angstrom
6.446 0.033 0.000
3.053 5.677 0.000
-4.750 -2.855 3.293
ATOMIC_POSITIONS crystal
Tm 0.000 0.000 0.000
Bi 0.750 0.250 0.500
Bi 0.250 0.750 0.500
Bi 0.500 0.500 0.000
```

---

Entry 3:
Here is HoGa2CuPd4 after structural relaxation from Alexandria via LeMat-Bulk. Energies are from PBE. Values from VASP.

DFT total energy   -5.070 eV/atom
Calculated formation energy   -0.63 eV/atom

Structure (Quantum ESPRESSO input):
```
&SYSTEM
  ibrav = 0, nat = 8, ntyp = 4
/
ATOMIC_SPECIES
Ho 164.93 Ho.upf
Ga 69.72 Ga.upf
Cu 63.55 Cu.upf
Pd 106.42 Pd.upf
CELL_PARAMETERS angstrom
4.392 0.000 0.000
2.196 3.803 0.000
2.196 1.268 7.860
ATOMIC_POSITIONS crystal
Ho 0.000 0.000 0.000
Ga 0.758 0.758 0.725
Ga 0.242 0.242 0.275
Cu 0.500 0.500 0.500
Pd 0.393 0.393 0.820
Pd 0.873 0.873 0.382
Pd 0.127 0.127 0.618
Pd 0.607 0.607 0.180
```

---

Entry 4:
Here is Cu3P2O8 after structural relaxation from Alexandria via LeMat-Bulk. Energies are from PBE. Values from VASP.

DFT total energy   -6.219 eV/atom

Structure (Quantum ESPRESSO input):
```
&SYSTEM
  ibrav = 0, nat = 26, ntyp = 3
/
ATOMIC_SPECIES
Cu 63.55 Cu.upf
P 30.97 P.upf
O 16.00 O.upf
CELL_PARAMETERS angstrom
6.642 -0.778 0.000
-4.063 6.253 0.000
0.000 0.000 7.577
ATOMIC_POSITIONS crystal
Cu 0.625 0.728 0.267
Cu 0.500 0.000 0.500
Cu 0.875 0.272 0.767
Cu 0.125 0.728 0.233
Cu 0.000 0.000 0.000
Cu 0.375 0.272 0.733
P 0.600 0.263 0.115
P 0.900 0.737 0.615
P 0.100 0.263 0.385
P 0.400 0.737 0.885
O 0.617 0.773 0.003
O 0.714 0.749 0.510
O 0.043 0.939 0.757
O 0.752 0.500 0.711
O 0.457 0.061 0.257
O 0.748 0.500 0.211
O 0.117 0.773 0.497
O 0.786 0.251 0.010
O 0.214 0.749 0.990
O 0.883 0.227 0.503
O 0.957 0.061 0.243
O 0.543 0.939 0.743
O 0.248 0.500 0.289
O 0.252 0.500 0.789
O 0.286 0.251 0.490
O 0.383 0.227 0.997
```

---

Entry 5:
Here is TbPuIn2 after structural relaxation from Alexandria via LeMat-Bulk. Energies are from PBE. Values from VASP.

DFT total energy   -6.383 eV/atom
Calculated formation energy   -0.27 eV/atom

Structure (Quantum ESPRESSO input):
```
&SYSTEM
  ibrav = 0, nat = 4, ntyp = 3
/
ATOMIC_SPECIES
In 114.82 In.upf
Tb 158.93 Tb.upf
Pu 244.00 Pu.upf
CELL_PARAMETERS angstrom
4.595 0.000 0.000
0.000 4.814 0.000
0.000 0.000 4.814
ATOMIC_POSITIONS crystal
In 0.000 0.000 0.500
In 0.000 0.500 0.000
Tb 0.500 0.500 0.500
Pu 0.500 0.000 0.000
```

---

Entry 6:
Here is ZnCoRe after structural relaxation from Alexandria via LeMat-Bulk. Energies are from PBE. Values from VASP.

DFT total energy   -6.849 eV/atom
Calculated formation energy   0.09 eV/atom

Structure (Quantum ESPRESSO input):
```
&SYSTEM
  ibrav = 0, nat = 12, ntyp = 3
/
ATOMIC_SPECIES
Zn 65.41 Zn.upf
Co 58.93 Co.upf
Re 186.21 Re.upf
CELL_PARAMETERS angstrom
4.631 0.000 0.000
2.316 4.048 0.000
2.316 0.000 8.540
ATOMIC_POSITIONS crystal
Zn 0.174 0.500 0.652
Zn 0.326 0.500 0.348
Zn 0.576 0.000 0.848
Zn 0.424 0.000 0.152
Co 0.627 0.500 0.746
Co 0.873 0.500 0.254
Co 0.123 0.000 0.754
Co 0.877 0.000 0.246
Re 0.919 0.162 0.500
Re 0.581 0.838 0.500
Re 0.831 0.338 0.000
Re 0.169 0.662 0.000
```

---

Entry 7:
Here is Ta2CrAs after structural relaxation from Alexandria via LeMat-Bulk. Energies are from PBE. Values from VASP.

DFT total energy   -9.522 eV/atom
Calculated formation energy   -0.03 eV/atom

Structure (Quantum ESPRESSO input):
```
&SYSTEM
  ibrav = 0, nat = 4, ntyp = 3
/
ATOMIC_SPECIES
As 74.92 As.upf
Cr 52.00 Cr.upf
Ta 180.95 Ta.upf
CELL_PARAMETERS angstrom
5.350 0.079 -0.096
4.320 3.158 -0.096
1.710 0.572 3.796
ATOMIC_POSITIONS crystal
As 0.531 0.531 0.469
Cr 0.248 0.248 0.252
Ta 0.979 0.979 0.021
Ta 0.743 0.743 0.757
```

---

Entry 8:
Here is MgFeCl2 after structural relaxation from Alexandria via LeMat-Bulk. Energies are from PBE. Values from VASP.

DFT total energy   -3.858 eV/atom

Structure (Quantum ESPRESSO input):
```
&SYSTEM
  ibrav = 0, nat = 4, ntyp = 3
/
ATOMIC_SPECIES
Cl 35.45 Cl.upf
Fe 55.84 Fe.upf
Mg 24.30 Mg.upf
CELL_PARAMETERS angstrom
-5.184 6.079 5.032
-3.515 4.505 7.517
-2.070 7.090 5.883
ATOMIC_POSITIONS crystal
Cl 0.971 0.971 0.971
Cl 0.529 0.529 0.529
Fe 0.250 0.250 0.250
Mg 0.750 0.750 0.750
```

---

Entry 9:
Here is Sr2Zn4Ge3Pb after structural relaxation from Alexandria via LeMat-Bulk. Energies are from PBE. Values from VASP.

DFT total energy   -2.924 eV/atom
Calculated formation energy   -0.32 eV/atom

Structure (Quantum ESPRESSO input):
```
&SYSTEM
  ibrav = 0, nat = 10, ntyp = 4
/
ATOMIC_SPECIES
Sr 87.62 Sr.upf
Zn 65.41 Zn.upf
Ge 72.64 Ge.upf
Pb 207.20 Pb.upf
CELL_PARAMETERS angstrom
4.546 0.000 0.000
0.000 4.546 0.000
0.000 0.000 10.882
ATOMIC_POSITIONS crystal
Sr 0.500 0.000 0.234
Sr 0.000 0.500 0.766
Zn 0.500 0.500 0.000
Zn 0.000 0.000 0.000
Zn 0.500 0.000 0.647
Zn 0.000 0.500 0.353
Ge 0.000 0.000 0.500
Ge 0.500 0.000 0.876
Ge 0.000 0.500 0.124
Pb 0.500 0.500 0.500
```

---

Entry 10:
Here is GdHoTlAu after structural relaxation from Alexandria via LeMat-Bulk. Energies are from PBE. Values from VASP.

DFT total energy   -6.641 eV/atom
Calculated formation energy   -0.57 eV/atom

Structure (Quantum ESPRESSO input):
```
&SYSTEM
  ibrav = 0, nat = 4, ntyp = 4
/
ATOMIC_SPECIES
Tl 204.38 Tl.upf
Gd 157.25 Gd.upf
Au 196.97 Au.upf
Ho 164.93 Ho.upf
CELL_PARAMETERS angstrom
-4.406 1.484 2.438
-3.665 -3.563 1.196
-0.812 -1.352 5.007
ATOMIC_POSITIONS crystal
Tl 0.500 0.500 0.500
Gd 0.250 0.250 0.250
Au 0.000 0.000 0.000
Ho 0.750 0.750 0.750
```

---

Entry 11:
Here is SrScBi2I after structural relaxation from Alexandria via LeMat-Bulk. Energies are from PBE. Values from VASP.

DFT total energy   -3.710 eV/atom

Structure (Quantum ESPRESSO input):
```
&SYSTEM
  ibrav = 0, nat = 5, ntyp = 4
/
ATOMIC_SPECIES
I 126.90 I.upf
Sr 87.62 Sr.upf
Sc 44.96 Sc.upf
Bi 208.98 Bi.upf
CELL_PARAMETERS angstrom
-4.691 2.697 -0.654
-3.522 -6.277 -0.623
-0.800 -0.086 5.390
ATOMIC_POSITIONS crystal
I 0.500 0.500 0.500
Sr 0.000 0.500 0.000
Sc 0.000 0.000 0.000
Bi 0.000 0.000 0.500
Bi 0.500 0.000 0.000
```

---

Entry 12:
Here is AlBiS2Cl after structural relaxation from Alexandria via LeMat-Bulk. Energies are from PBE. Values from VASP.

DFT total energy   -3.972 eV/atom

Structure (Quantum ESPRESSO input):
```
&SYSTEM
  ibrav = 0, nat = 5, ntyp = 4
/
ATOMIC_SPECIES
S 32.06 S.upf
Al 26.98 Al.upf
Bi 208.98 Bi.upf
Cl 35.45 Cl.upf
CELL_PARAMETERS angstrom
4.771 0.000 0.000
0.000 4.771 0.000
0.000 0.000 4.562
ATOMIC_POSITIONS crystal
S 0.000 0.500 0.000
S 0.500 0.000 0.000
Al 0.000 0.000 0.000
Bi 0.500 0.500 0.500
Cl 0.000 0.000 0.500
```

---

> Among the records above, which one has the highest DFT total energy?

Sr2Zn4Ge3Pb